KRb3Se6: relaxed, PBE.

DFT total energy, eV per cell: -64.2
ΔE_f (raw), eV per atom: -0.719

a b c (Å): 9.1905 9.1905 9.1905
angles (deg): 101.26 101.26 101.26
Last column: nearest neighbours and their distance in Å.
Element x y z (fractional)
K 0.0000 0.0000 0.0000  6 Se 3.78
K 0.5000 0.5000 0.5000  6 Se 3.78
Rb 0.1820 0.7500 0.3180  6 Se 3.42-3.55
Rb 0.3180 0.1820 0.7500  6 Se 3.42-3.55
Rb 0.2500 0.6820 0.8180  6 Se 3.42-3.55
Rb 0.7500 0.3180 0.1820  6 Se 3.42-3.55
Rb 0.6820 0.8180 0.2500  6 Se 3.42-3.55
Rb 0.8180 0.2500 0.6820  6 Se 3.42-3.55
Se 0.9031 0.5787 0.9897  2 Se 2.51-2.68
Se 0.0103 0.0969 0.4213  2 Se 2.51-2.68
Se 0.0788 0.4031 0.4897  2 Se 2.51-2.68
Se 0.4213 0.0103 0.0969  2 Se 2.51-2.68
Se 0.4031 0.4897 0.0788  2 Se 2.51-2.68
Se 0.5103 0.9212 0.5969  2 Se 2.51-2.68
Se 0.4897 0.0788 0.4031  2 Se 2.51-2.68
Se 0.5969 0.5103 0.9212  2 Se 2.51-2.68
Se 0.5787 0.9897 0.9031  2 Se 2.51-2.68
Se 0.9212 0.5969 0.5103  2 Se 2.51-2.68
Se 0.9897 0.9031 0.5787  2 Se 2.51-2.68
Se 0.0969 0.4213 0.0103  2 Se 2.51-2.68

LiIn4Au5: relaxed, PBE.

DFT total energy, eV per cell: -31.7
Excess energy over the best structure of this formula in the dataset, kJ per mole of atoms: 0.2
Formation enthalpy at 0 K, eV/atom: -0.242

a b c (Å): 5.5832 8.0877 7.4440
angles (deg): 77.14 42.30 67.85
Last column: nearest neighbours and their distance in Å.
Element x y z (fractional)
Li 0.0320 0.9608 0.9680  5 Au 2.76-2.99, 2 In 3.02-3.03
In 0.7506 0.6555 0.8623  6 Au 2.79-3.00, 1 In 3.12
In 0.5827 0.1757 0.5354  6 Au 2.81-3.00, 1 Li 3.12
In 0.3435 0.8535 0.4479  5 Au 2.79-2.93, 2 Li 3.02-3.03, 1 In 3.12
In 0.2187 0.4005 0.2371  8 Au 2.81-3.11
Au 0.3993 0.5768 0.7552  5 In 2.89-3.06, 3 Au 2.93-3.06, 1 Li 2.99
Au 0.9147 0.2160 0.6985  1 Li 2.79, 2 Au 2.81-3.06, 5 In 2.81-3.00
Au 0.9336 0.7841 0.3839  6 In 2.79-3.00, 1 Li 2.84, 2 Au 2.98
Au 0.9130 0.3517 0.0643  5 In 2.79-2.95, 2 Au 2.93-2.94, 1 Li 3.11
Au 0.4014 0.0255 0.0473  2 Li 2.76-2.95, 3 Au 2.81-2.98, 3 In 2.83-2.96

Which value of DFT total energy does entry 1 give? -64.2 eV per cell